SrIr3N: relaxed, PBE.

a = 4.2748 Å, b = 4.2748 Å, c = 4.2748 Å
α = 90.00°, β = 90.00°, γ = 90.00°
Atoms (fractional coordinates):
Sr: 0.0000 0.0000 0.0000
Ir: 0.0000 0.5000 0.5000
Ir: 0.5000 0.0000 0.5000
Ir: 0.5000 0.5000 0.0000
N: 0.5000 0.5000 0.5000

* volume: 78.1 Å³/f.u.
* symmetry: Pm-3m (221)
* formation energy from raw total energies: 45.9 kJ/mol of atoms